[1]
Here is crystalline LaGdMg2Ag2 at its relaxed geometry from OQMD via LeMat-Bulk. Energies are from GGA-PBE.

```
data_LaGdMg2Ag2
_chemical_formula_sum 'La3 Gd3 Mg6 Ag6'
_space_group_name_H-M_alt 'P 1'
_space_group_IT_number 1
_cell_length_a 4.2893
_cell_length_b 13.5038
_cell_length_c 7.7888
_cell_angle_alpha 90.00
_cell_angle_beta 90.00
_cell_angle_gamma 90.00
loop_
_space_group_symop_operation_xyz
'x,y,z'
loop_
_atom_site_label
_atom_site_type_symbol
_atom_site_fract_x
_atom_site_fract_y
_atom_site_fract_z
La1 La 0.0000 0.0000 0.0000
La2 La 0.0000 0.2117 0.3748
La3 La 0.0000 0.7883 0.3748
Gd1 Gd 0.0000 0.2966 0.8722
Gd2 Gd 0.0000 0.5000 0.4949
Gd3 Gd 0.0000 0.7034 0.8722
Mg1 Mg 0.5000 0.0000 0.3442
Mg2 Mg 0.5000 0.1234 0.7043
Mg3 Mg 0.5000 0.3826 0.1991
Mg4 Mg 0.5000 0.5000 0.8393
Mg5 Mg 0.5000 0.6174 0.1991
Mg6 Mg 0.5000 0.8766 0.7043
Ag1 Ag 0.0000 0.0000 0.5820
Ag2 Ag 0.0000 0.5000 0.0815
Ag3 Ag 0.5000 0.1728 0.0744
Ag4 Ag 0.5000 0.3391 0.5874
Ag5 Ag 0.5000 0.6609 0.5874
Ag6 Ag 0.5000 0.8272 0.0744
```

- raw total energy (eV/cell) = -59.9
- total moment (μB/f.u.) = 0.01

***

[2]
Here is crystalline LiFe2Co at its relaxed geometry from OQMD via LeMat-Bulk. Energies are from GGA-PBE.

```
data_LiFe2Co
_chemical_formula_sum 'Li1 Fe2 Co1'
_space_group_name_H-M_alt 'P 1'
_space_group_IT_number 1
_cell_length_a 3.9674
_cell_length_b 3.9674
_cell_length_c 3.9674
_cell_angle_alpha 60.00
_cell_angle_beta 60.00
_cell_angle_gamma 60.00
loop_
_space_group_symop_operation_xyz
'x,y,z'
loop_
_atom_site_label
_atom_site_type_symbol
_atom_site_fract_x
_atom_site_fract_y
_atom_site_fract_z
Li1 Li 0.0000 0.0000 0.0000
Fe1 Fe 0.2500 0.2500 0.2500
Fe2 Fe 0.5000 0.5000 0.5000
Co1 Co 0.7500 0.7500 0.7500
```

- raw total energy (eV/cell) = -24.9
- total moment (μB/f.u.) = 6.07

***

[3]
Here is crystalline Ba2BeAg at its relaxed geometry from OQMD via LeMat-Bulk. Energies are from GGA-PBE.

```
data_Ba2BeAg
_chemical_formula_sum 'Ba2 Be1 Ag1'
_space_group_name_H-M_alt 'P 1'
_space_group_IT_number 1
_cell_length_a 5.4283
_cell_length_b 5.4283
_cell_length_c 5.4283
_cell_angle_alpha 60.00
_cell_angle_beta 60.00
_cell_angle_gamma 60.00
loop_
_space_group_symop_operation_xyz
'x,y,z'
loop_
_atom_site_label
_atom_site_type_symbol
_atom_site_fract_x
_atom_site_fract_y
_atom_site_fract_z
Ba1 Ba 0.0000 0.0000 0.0000
Ba2 Ba 0.2500 0.2500 0.2500
Be1 Be 0.5000 0.5000 0.5000
Ag1 Ag 0.7500 0.7500 0.7500
```

- raw total energy (eV/cell) = -9.0